1.
Compound: CaMo2Pt
Source: Alexandria via LeMat-Bulk
Functional: GGA-PBE
Structure: optimized geometry

Computed properties:
Energy relative to the elements = 627 meV/atom

a b c (Å): 7.8429 7.8429 6.1287
angles (deg): 50.22 50.22 90.00
Last column: nearest neighbours and their distance in Å.
Element x y z (fractional)
Mo: 0.3750 0.3303 0.7500  2 Pt 2.62, 2 Mo 2.70
Ca: 0.2500 0.7500 0.5000  2 Pt 2.61
Pt: 0.0000 0.0000 0.0000  2 Ca 2.61, 4 Mo 2.62
Mo: 0.0803 0.6250 0.2500  2 Pt 2.62, 2 Mo 2.70
Ca: 0.5000 0.5000 0.0000  2 Pt 2.61
Mo: 0.6697 0.1250 0.2500  2 Pt 2.62, 2 Mo 2.70
Mo: 0.8750 0.9197 0.7500  2 Pt 2.62, 2 Mo 2.70
Pt: 0.7500 0.2500 0.5000  2 Ca 2.61, 4 Mo 2.62

***

2.
Compound: Ga2Sb2Pb
Source: Alexandria via LeMat-Bulk
Functional: GGA-PBE
Structure: optimized geometry

a b c (Å): 4.3752 4.3752 7.8052
angles (deg): 73.72 73.72 90.00
Last column: nearest neighbours and their distance in Å.
Element x y z (fractional)
Sb: 0.6182 0.6182 0.7636  4 Ga 2.89
Pb: 0.0000 0.0000 0.0000  8 Sb 3.53
Ga: 0.7500 0.2500 0.5000  4 Sb 2.89, 4 Ga 3.09
Ga: 0.2500 0.7500 0.5000  4 Sb 2.89, 4 Ga 3.09
Sb: 0.3818 0.3818 0.2364  4 Ga 2.89

***

3.
Compound: TaAsCl2
Source: Alexandria via LeMat-Bulk
Functional: GGA-PBE
Structure: optimized geometry

a b c (Å): 7.9203 7.9203 4.7063
angles (deg): 72.74 72.74 21.60
Last column: nearest neighbours and their distance in Å.
Element x y z (fractional)
Cl: 0.1103 0.1103 0.8894  2 Ta 2.55
Cl: 0.3897 0.3897 0.6106  2 Ta 2.55
As: 0.2500 0.2500 0.2500  4 Ta 2.78, 2 As 2.97
Ta: 0.7500 0.7500 0.7500  4 Cl 2.55, 4 As 2.78

***

| no. | total DFT energy (no corrections) (eV for the cell shown) | M_tot (μB per formula unit) |
| --- | --- | --- |
| 1 | -54.40 | 0.0 |
| 2 | -17.76 | 0.0 |
| 3 | -22.01 | 0.0 |